Entry 1:
Pm3PrY3 | PBE-GGA | relaxed

```
Pm3PrY3
1.0
5.029 2.904 2.754
-5.029 2.904 2.754
0.000 -5.807 2.754
Pm Pr Y
3 1 3
Cartesian
-1.808 -1.044 2.754
1.808 -1.044 2.754
0.000 2.088 2.754
0.000 0.000 0.350
-2.013 -1.162 6.299
2.013 -1.162 6.299
0.000 2.324 6.299
```

Properties
The density of states at the Fermi level is 1.580 states/eV/atom. As for the formation energy: 0.218 eV/atom. The distance to the lowest polymorph of the same formula is 0.006 eV/atom.



Entry 2:
Ba2NbCu | PBE-GGA | relaxed

```
Ba2NbCu
1.0
-4.491 4.491 3.333
4.491 -4.491 3.333
4.491 4.491 -3.333
Ba Nb Cu
4 2 2
Cartesian
6.736 1.909 -0.833
1.909 2.245 0.833
-2.245 2.582 2.500
2.582 2.245 4.166
4.491 0.000 1.667
0.000 0.000 3.333
0.000 0.000 0.000
0.000 4.491 1.667
```

Properties
The density of states at the Fermi level is 0.516 states/eV/atom. As for the formation energy: 0.972 eV/atom. The distance to the lowest polymorph of the same formula is 0.120 eV/atom.



Which value of distance to the lowest polymorph of the same formula does entry 1 give?
0.006 eV/atom